! Tm2PaO6 PBE optimized geometry; values from VASP
! Excess energy over the best structure of this formula in the dataset: 0 meV per atom
! Calculated density: 9.6 g/cm³
! Volume: 12.8 Å³/atom
&SYSTEM
  ibrav = 0, nat = 9, ntyp = 3
/
ATOMIC_SPECIES
Tm 168.93 Tm.upf
Pa 231.04 Pa.upf
O 16.00 O.upf
ATOMIC_POSITIONS crystal
Tm 0.168 0.168 0.000
Tm 0.832 0.832 0.000
Pa 0.500 0.500 0.000
O 0.090 0.337 0.753
O 0.257 0.000 0.257
O 0.416 0.663 0.753
O 0.584 0.337 0.247
O 0.743 0.000 0.743
O 0.910 0.663 0.247
CELL_PARAMETERS angstrom
-1.908 2.663 5.653
1.908 -2.663 5.653
1.908 2.663 -5.653

***

! Er5B2Te PBE optimized geometry; values from VASP
! Calculated density: 9.3 g/cm³
! Volume: 21.9 Å³/atom
! E: -5.246 eV/atom
&SYSTEM
  ibrav = 0, nat = 16, ntyp = 3
/
ATOMIC_SPECIES
Er 167.26 Er.upf
B 10.81 B.upf
Te 127.60 Te.upf
ATOMIC_POSITIONS crystal
Er 0.000 0.000 0.000
Er 0.033 0.533 0.829
Er 0.205 0.033 0.500
Er 0.295 0.795 0.829
Er 0.467 0.295 0.500
Er 0.500 0.500 0.000
Er 0.533 0.705 0.500
Er 0.705 0.205 0.171
Er 0.795 0.967 0.500
Er 0.967 0.467 0.171
B 0.096 0.404 0.500
B 0.404 0.904 0.309
B 0.596 0.096 0.691
B 0.904 0.596 0.500
Te 0.250 0.250 0.000
Te 0.750 0.750 0.000
CELL_PARAMETERS angstrom
-3.527 3.527 7.043
3.527 -3.527 7.043
3.527 3.527 -7.043

***

! Mn3IrCl PBE optimized geometry; values from VASP
! Excess energy over the best structure of this formula in the dataset: 236 meV per atom
! Calculated density: 9.9 g/cm³
! Volume: 13.2 Å³/atom
&SYSTEM
  ibrav = 0, nat = 5, ntyp = 3
/
ATOMIC_SPECIES
Mn 54.94 Mn.upf
Ir 192.22 Ir.upf
Cl 35.45 Cl.upf
ATOMIC_POSITIONS crystal
Mn 0.000 0.000 0.500
Mn 0.000 0.500 0.000
Mn 0.500 0.000 0.000
Ir 0.500 0.500 0.500
Cl 0.000 0.000 0.000
CELL_PARAMETERS angstrom
4.038 0.000 0.000
0.000 4.038 0.000
0.000 0.000 4.038

***

- volume of number 1 (Tm2PaO6)?
  12.8 Å³/atom

***

- Which of these has the highest volume?
  Er5B2Te

***

Please write out number 3 again, unchanged.
! Mn3IrCl PBE optimized geometry; values from VASP
! Excess energy over the best structure of this formula in the dataset: 236 meV per atom
! Calculated density: 9.9 g/cm³
! Volume: 13.2 Å³/atom
&SYSTEM
  ibrav = 0, nat = 5, ntyp = 3
/
ATOMIC_SPECIES
Mn 54.94 Mn.upf
Ir 192.22 Ir.upf
Cl 35.45 Cl.upf
ATOMIC_POSITIONS crystal
Mn 0.000 0.000 0.500
Mn 0.000 0.500 0.000
Mn 0.500 0.000 0.000
Ir 0.500 0.500 0.500
Cl 0.000 0.000 0.000
CELL_PARAMETERS angstrom
4.038 0.000 0.000
0.000 4.038 0.000
0.000 0.000 4.038